16
Lattice="1.6980 -5.7628 0.0000 1.6980 5.7628 0.0000 0.0000 0.0000 12.0108" Properties=species:S:1:pos:R:3 comment="Sm2ErCrN4, optimized geometry, DFT PBE" e_form_raw_kcal_per_mol_atoms=-24.7 total_magnetization_mub_per_cell=4.46 total_energy_ev_per_cell=-131.01 crystal_system=orthorhombic pbc="T T T"
Sm 1.6980 4.2353 6.5162
Sm 1.6980 4.2353 11.5001
Sm 1.6980 -4.2353 0.5107
Sm 1.6980 -4.2353 5.4947
Er 1.6980 1.3563 9.0081
Er 1.6980 -1.3563 3.0027
Cr 1.6980 1.8058 3.0027
Cr 1.6980 -1.8058 9.0081
N 1.6980 4.9502 9.0081
N 1.6980 3.1377 1.6629
N 1.6980 3.1377 4.3425
N 1.6980 0.0000 0.0000
N 1.6980 0.0000 6.0054
N 1.6980 -3.1377 7.6683
N 1.6980 -3.1377 10.3479
N 1.6980 -4.9502 3.0027

4
Lattice="0.0000 4.1439 4.1439 4.1439 0.0000 4.1439 4.1439 4.1439 0.0000" Properties=species:S:1:pos:R:3 comment="BaLiEuCd, optimized geometry, DFT PBE" total_magnetization_mub_per_cell=7.41 e_form_kj_per_mol_fu=-52 total_energy_ev_per_cell=-15.57 crystal_system=cubic pbc="T T T"
Ba 0.0000 0.0000 0.0000
Li 2.0719 2.0719 2.0719
Eu 4.1439 4.1439 4.1439
Cd 6.2158 6.2158 6.2158

5
Lattice="5.0345 0.0000 0.0000 0.0000 5.0345 0.0000 0.0000 0.0000 5.6505" Properties=species:S:1:pos:R:3 comment="FeSb2RuI, optimized geometry, DFT PBE" e_form_raw_kcal_per_mol_atoms=21.4 total_magnetization_mub_per_cell=3.09 total_energy_ev_per_cell=-22.89 de_polymorph_mev_per_atom=0 crystal_system=tetragonal pbc="T T T"
Fe 0.0000 0.0000 0.0000
Sb 0.0000 2.5173 2.8253
Sb 2.5173 0.0000 2.8253
Ru 2.5173 2.5173 2.8253
I 2.5173 2.5173 0.0000

14
Lattice="4.3144 2.4909 7.0155 -4.3144 2.4909 7.0155 0.0000 -4.9818 7.0155" Properties=species:S:1:pos:R:3 comment="TbNd4DySe8, optimized geometry, DFT PBE" e_form_raw_kcal_per_mol_atoms=-39.7 total_magnetization_mub_per_cell=0.00 total_energy_ev_per_cell=-80.31 crystal_system=trigonal pbc="T T T"
Tb 0.0000 0.0000 0.0000
Nd 0.0000 -2.5108 11.4281
Nd -2.1744 1.2554 11.4281
Nd 0.0000 0.0000 15.8347
Nd 2.1744 1.2554 11.4281
Dy 0.0000 0.0000 7.8983
Se 0.0000 0.0000 2.7279
Se 0.0000 -2.3487 6.1938
Se -2.0340 1.1743 6.1938
Se -1.9755 -1.1406 9.6637
Se 2.0340 1.1743 6.1939
Se 1.9755 -1.1406 9.6637
Se 0.0000 2.2811 9.6637
Se 0.0000 0.0000 13.0310